Here is a geometry-optimized Ho2CrBiO6 structure from the Alexandria database. Energies are from PBE with a Hubbard U.

```
Ho2CrBiO6
1.0
-5.301 -0.681 -0.474
0.229 -4.145 3.392
-0.796 3.331 4.125
O Cr Ho Bi
6 1 2 1
direct
0.747 0.760 0.760
0.121 0.500 0.500
0.242 0.000 0.000
0.747 0.240 0.240
0.747 0.760 0.240
0.747 0.240 0.760
0.608 0.000 0.000
0.973 0.000 0.500
0.973 0.500 0.000
0.541 0.500 0.500
```

Final energy   -7.24 eV per atom
Symmetry   P4mm (99)